{"formula": "PmPr2AgS5", "functional": "PBE-GGA", "state": "optimized geometry", "cell": [[2.0209, -8.3973, 0.0000], [2.0209, 8.3973, 0.0000], [0.0000, 0.0000, 12.2967]], "species": ["Pm", "Pm", "Pr", "Pr", "Pr", "Pr", "Ag", "Ag", "S", "S", "S", "S", "S", "S", "S", "S", "S", "S"], "fractional_positions": [[0.1907, 0.8093, 0.5000], [0.8093, 0.1907, 0.0000], [0.1143, 0.8857, 0.1830], [0.1234, 0.8766, 0.8014], [0.8766, 0.1234, 0.3014], [0.8857, 0.1143, 0.6830], [0.4768, 0.5232, 0.9730], [0.5232, 0.4768, 0.4730], [0.0426, 0.9574, 0.5844], [0.2919, 0.7081, 0.1608], [0.3048, 0.6952, 0.8373], [0.3573, 0.6427, 0.4984], [0.4982, 0.5018, 0.7763], [0.5018, 0.4982, 0.2763], [0.6427, 0.3573, 0.9984], [0.6952, 0.3048, 0.3373], [0.7081, 0.2919, 0.6608], [0.9574, 0.0426, 0.0844]], "spacegroup": "Cmc2_1", "total_magnetization_mub_per_atom": 0.000, "raw_formation_energy_ev_per_atom": -1.674}



{"formula": "PmPrScAg", "functional": "PBE-GGA", "state": "optimized geometry", "cell": [[0.0000, 3.8190, 3.8190], [3.8190, 0.0000, 3.8190], [3.8190, 3.8190, 0.0000]], "species": ["Pm", "Pr", "Sc", "Ag"], "fractional_positions": [[0.0000, 0.0000, 0.0000], [0.5000, 0.5000, 0.5000], [0.7500, 0.7500, 0.7500], [0.2500, 0.2500, 0.2500]], "e_form_ev_per_fu": 0.2, "spacegroup": "F-43m", "total_magnetization_mub_per_atom": 0.000}